Record 1
## CePrDy2 (PBE)

Data for CePrDy2 after structural relaxation.

It has space group R3m (No. 160, hexagonal axes), with a = 3.5735 Å, b = 3.5735 Å, c = 35.0146 Å, α = 90.00°, β = 90.00° and γ = 120.00°. The distinct sites, in fractional coordinates, are Ce at (0.0000, 0.0000, 0.0000), Pr at (0.0000, 0.0000, 0.1660), Dy at (0.0000, 0.0000, 0.5841) and Dy at (0.0000, 0.0000, 0.7483).

As for the formation energy: 0.065 eV/atom. As for the calculated volume: 32.269 Å³ per atom. The value obtained for the distance to the lowest polymorph of the same formula is 5 meV per atom. Its total energy is -4.9143 eV/atom. The total moment is 0.2663 μB per atom.

***

Record 2
## CePr2Dy (PBE)

Data for CePr2Dy after structural relaxation.

It has space group R-3m (No. 166, hexagonal axes), with a = 3.4980 Å, b = 3.4980 Å, c = 37.8439 Å, α = 90.00°, β = 90.00° and γ = 120.00°. The distinct sites, in fractional coordinates, are Ce at (0.0000, 0.0000, 0.0000), Pr at (0.0000, 0.0000, 0.0880) and Dy at (0.0000, 0.0000, 0.5000).

As for the formation energy: 0.192 eV/atom. As for the calculated volume: 33.418 Å³ per atom. The value obtained for the distance to the lowest polymorph of the same formula is 121 meV per atom. Its total energy is -4.8313 eV/atom. The total moment is 0.2318 μB per atom.

***

Record 3
## Ce2PrDy (PBE)

Data for Ce2PrDy after structural relaxation.

It has space group P4/mmm (No. 123), with a = 3.4998 Å, b = 3.4998 Å, c = 10.2687 Å, α = 90.00°, β = 90.00° and γ = 90.00°. The distinct sites, in fractional coordinates, are Ce at (0.0000, 0.0000, 0.2456), Pr at (0.5000, 0.5000, 0.5000) and Dy at (0.5000, 0.5000, 0.0000).

As for the formation energy: 0.122 eV/atom. As for the calculated volume: 31.444 Å³ per atom. The value obtained for the distance to the lowest polymorph of the same formula is 14 meV per atom. Its total energy is -5.1906 eV/atom. The total moment is 0.4002 μB per atom.

***

Record 4
## CePrDy2 (PBE)

Data for CePrDy2 after structural relaxation.

It has space group Fm-3m (No. 225), with a = 8.0701 Å, b = 8.0701 Å, c = 8.0701 Å, α = 90.00°, β = 90.00° and γ = 90.00°. The distinct sites, in fractional coordinates, are Ce at (0.0000, 0.0000, 0.0000), Pr at (0.0000, 0.0000, 0.5000) and Dy at (0.2500, 0.2500, 0.2500).

As for the formation energy: 0.171 eV/atom. As for the calculated volume: 32.848 Å³ per atom. The value obtained for the distance to the lowest polymorph of the same formula is 110 meV per atom. Its total energy is -4.8089 eV/atom. The total moment is 0.2135 μB per atom.

***

Record 5
## CePr4Dy4 (PBE)

Data for CePr4Dy4 after structural relaxation.

It has space group I4/mmm (No. 139), with a = 10.8654 Å, b = 10.8654 Å, c = 5.1121 Å, α = 90.00°, β = 90.00° and γ = 90.00°. The distinct sites, in fractional coordinates, are Ce at (0.0000, 0.0000, 0.0000), Pr at (0.1649, 0.1649, 0.5000) and Dy at (0.0000, 0.3351, 0.0000).

As for the formation energy: 0.046 eV/atom. As for the calculated volume: 33.528 Å³ per atom. Its total energy is -4.7825 eV/atom. The total moment is 0.0847 μB per atom.

***

Record 6
## CePr2Dy2 (PBE)

Data for CePr2Dy2 after structural relaxation.

It has space group I4/mmm (No. 139), with a = 4.2250 Å, b = 4.2250 Å, c = 24.5572 Å, α = 90.00°, β = 90.00° and γ = 90.00°. The distinct sites, in fractional coordinates, are Ce at (0.0000, 0.0000, 0.0000), Pr at (0.0000, 0.5000, 0.2500) and Dy at (0.0000, 0.0000, 0.1297).

As for the formation energy: 1.130 eV/atom. As for the calculated volume: 43.836 Å³ per atom. Its total energy is -3.8099 eV/atom. The total moment is 0.6790 μB per atom.

***

Which of these has the highest calculated volume? CePr2Dy2

***

Which of these has the highest calculated volume? CePr2Dy2

***

The lowest total moment belongs to which entry? CePr4Dy4